Compound: Li2PuCdPt2
Source: the Alexandria database
Functional: PBE-GGA
Structure: relaxed

## Properties
ΔH_f (0 K): -0.534 eV/atom
V: 18.051 A^3/atom
calculated total energy: -5.7268 eV per atom

a = 4.348 Å, b = 4.348 Å, c = 6.614 Å
α = 90.00°, β = 90.00°, γ = 120.00°
Atoms (fractional coordinates):
1 Li 0.333 0.667 0.160
2 Li 0.667 0.333 0.840
3 Pu 0.000 0.000 0.500
4 Cd 0.000 0.000 0.000
5 Pt 0.333 0.667 0.735
6 Pt 0.667 0.333 0.265

---

Compound: CuNiPt4
Source: the Alexandria database
Functional: PBE-GGA
Structure: relaxed

## Properties
ΔH_f (0 K): -0.106 eV/atom
offset from the most stable computed form: 0 meV/atom
V: 14.356 A^3/atom
calculated total energy: -5.7796 eV per atom

a = 2.755 Å, b = 2.755 Å, c = 11.347 Å
α = 90.00°, β = 90.00°, γ = 90.00°
Atoms (fractional coordinates):
1 Cu 0.000 0.000 0.000
2 Ni 0.500 0.500 0.500
3 Pt 0.000 0.000 0.345
4 Pt 0.000 0.000 0.655
5 Pt 0.500 0.500 0.162
6 Pt 0.500 0.500 0.838

---

Compound: BaNaScAl2
Source: the Alexandria database
Functional: PBE-GGA
Structure: relaxed

## Properties
ΔH_f (0 K): 0.533 eV/atom
V: 35.072 A^3/atom
calculated total energy: -2.8782 eV per atom

a = 5.477 Å, b = 5.477 Å, c = 5.847 Å
α = 90.00°, β = 90.00°, γ = 90.00°
Atoms (fractional coordinates):
1 Ba 0.000 0.000 0.000
2 Na 0.500 0.500 0.000
3 Sc 0.000 0.000 0.500
4 Al 0.000 0.500 0.500
5 Al 0.500 0.000 0.500